# PBE+U VCd3O6, optimized geometry
# Polymorph energy (0 for the lowest one) (meV/atom): 74.6
# Size of the total moment (μB per cell): 2.10
# DOS at the Fermi energy (states/eV/f.u.): 6.4
# Energy (eV per cell): -103.0
data_VCd3O6
_cell_length_a 5.465
_cell_length_b 5.656
_cell_length_c 9.695
_cell_angle_alpha 90.00
_cell_angle_beta 123.32
_cell_angle_gamma 90.00
_space_group_name_H-M_alt 'P 1'
_space_group_IT_number 1
loop_
_space_group_symop_operation_xyz
'x,y,z'
loop_
_atom_site_label
_atom_site_type_symbol
_atom_site_fract_x
_atom_site_fract_y
_atom_site_fract_z
_atom_site_occupancy
V1 V 0.000 0.000 0.000 1
V2 V 0.000 0.500 0.500 1
Cd1 Cd 0.235 0.054 0.752 1
Cd2 Cd 0.235 0.446 0.252 1
Cd3 Cd 0.500 0.000 0.500 1
Cd4 Cd 0.500 0.500 0.000 1
Cd5 Cd 0.765 0.554 0.748 1
Cd6 Cd 0.765 0.946 0.248 1
O1 O 0.089 0.226 0.419 1
O2 O 0.089 0.274 0.919 1
O3 O 0.218 0.682 0.443 1
O4 O 0.218 0.818 0.943 1
O5 O 0.345 0.062 0.219 1
O6 O 0.345 0.438 0.719 1
O7 O 0.655 0.562 0.281 1
O8 O 0.655 0.938 0.781 1
O9 O 0.782 0.182 0.057 1
O10 O 0.782 0.318 0.557 1
O11 O 0.911 0.726 0.081 1
O12 O 0.911 0.774 0.581 1